# Sc2TlIn

A relaxed Sc2TlIn crystal (GGA-PBEsol, the Alexandria database).

- Spin magnetization: 0.73 μB per formula unit
- Space-group type: I4/mmm (139)
- Energy above the most stable polymorph in this dataset: 0.0021 eV per atom

```
4
Lattice="-0.858 -4.156 1.615 0.663 0.303 -5.251 4.027 -1.429 -1.537" Properties=species:S:1:pos:R:3 pbc="T T T"
Tl 1.584 -2.792 0.039
Sc 1.124 -1.245 -2.606
Sc 2.708 -4.037 -2.567
In 0.000 0.000 0.000
```